A relaxed Ca2CoNiO4 crystal. Source: Alexandria via LeMat-Bulk, functional PBE+U.

Results
space group	No. 10
raw total energy	-5.8916	eV per atom
density of states at the Fermi level	0.00	states/eV per atom
volume	92.9	Å³ per cell

Unit cell a=5.4473 b=3.2361 c=5.6142 alpha=90.00 beta=110.25 gamma=90.00
Last column: nearest neighbours and their distance in Å.
Element x y z (fractional)
Ca1 0.0000 0.0000 0.0000  6 O 2.33-2.34
Ca2 0.0000 0.5000 0.5000  6 O 2.34-2.35
Co1 0.5000 0.0000 0.5000  6 O 2.19-2.21
Ni1 0.5000 0.5000 0.0000  6 O 2.19-2.20
O1 0.2745 0.0000 0.7605  2 Ni 2.19, 1 Co 2.21, 3 Ca 2.33-2.34
O2 0.2752 0.5000 0.2578  2 Co 2.19, 1 Ni 2.20, 3 Ca 2.34-2.35
O3 0.7248 0.5000 0.7422  2 Co 2.19, 1 Ni 2.20, 3 Ca 2.34-2.35
O4 0.7255 0.0000 0.2395  2 Ni 2.19, 1 Co 2.21, 3 Ca 2.33-2.34